# 1
Rb3GaGe2 | PBE | optimized geometry

Lattice parameters (Å, degrees): 4.308 11.224 12.982 68.58 80.45 78.93
Fractional positions:
Rb  0.039  0.175  0.747
Rb  0.961  0.825  0.253
Rb  0.674  0.678  0.975
Rb  0.326  0.322  0.025
Rb  0.805  0.784  0.606
Rb  0.195  0.216  0.394
Ga  0.416  0.480  0.689
Ga  0.584  0.520  0.311
Ge  0.866  0.469  0.799
Ge  0.134  0.531  0.201
Ge  0.546  0.381  0.526
Ge  0.454  0.619  0.474

**Size of the total moment**: 0.000 μB/atom
**V**: 285 Å³/f.u.
**SG**: C2/m, No. 12
**E_form**: 2.3 kJ/mol of atoms

# 2
Ac2HoUSe6 | PBE | optimized geometry

Lattice parameters (Å, degrees): 7.595 7.595 7.890 61.23 61.23 60.00
Each line ends with the local moment (μB).
Fractional positions:
Ac  0.525  0.525  0.425  0.03
Ac  0.026  0.026  0.923  0.03
Ho  0.319  0.319  0.044  0.05
U  0.819  0.819  0.543  2.67
Se  0.595  0.188  0.261  -0.02
Se  0.188  0.956  0.261  -0.02
Se  0.956  0.595  0.261  -0.02
Se  0.453  0.682  0.766  -0.02
Se  0.682  0.099  0.766  -0.02
Se  0.099  0.453  0.766  -0.02

**Size of the total moment**: 0.300 μB/atom
**V**: 328 Å³/f.u.
**SG**: R3, No. 146
**Formation energy from raw total energies**: -1679 meV per atom

# 3
Tb2YHo2Th | PBE | optimized geometry

Lattice parameters (Å, degrees): 6.803 8.677 6.597 97.00 90.00 90.00
Fractional positions:
Tb  0.500  0.186  0.190
Tb  0.000  0.186  0.190
Tb  0.000  0.814  0.810
Tb  0.500  0.814  0.810
Y  0.750  0.162  0.694
Y  0.250  0.838  0.306
Ho  0.250  0.144  0.687
Ho  0.250  0.491  0.497
Ho  0.750  0.856  0.313
Ho  0.750  0.509  0.503
Th  0.250  0.488  0.990
Th  0.750  0.512  0.010

**Size of the total moment**: 0.000 μB/atom
**V**: 193 Å³/f.u.
**SG**: P2_1/m, No. 11
**E_form**: 16.8 kJ/mol of atoms

# 4
Sm6Er3Tm2Pu | PBE | optimized geometry

Lattice parameters (Å, degrees): 6.174 6.174 11.691 95.05 95.05 120.00
Each line ends with the local moment (μB).
Fractional positions:
Sm  0.918  0.588  0.752  0.03
Sm  0.752  0.752  0.248  0.03
Sm  0.082  0.412  0.248  0.03
Sm  0.588  0.918  0.752  0.03
Sm  0.248  0.248  0.752  0.03
Sm  0.412  0.082  0.248  0.03
Er  0.167  0.833  0.500  -0.06
Er  0.833  0.167  0.500  -0.06
Er  0.500  0.500  0.500  -0.06
Tm  0.333  0.667  0.000  0.18
Tm  0.667  0.333  0.000  0.18
Pu  0.000  0.000  0.000  5.61

**Size of the total moment**: 0.554 μB/atom
**V**: 380 Å³/f.u.
**SG**: C2/m, No. 12
**E_form**: 4.2 kJ/mol of atoms

# 5
Pa3S3F4 | PBE | optimized geometry

Lattice parameters (Å, degrees): 7.882 7.882 7.882 109.47 109.47 109.47
Each line ends with the local moment (μB).
Fractional positions:
Pa  0.125  0.750  0.375  1.51
Pa  0.375  0.250  0.125  1.51
Pa  0.625  0.875  0.250  1.51
Pa  0.875  0.625  0.750  1.51
Pa  0.250  0.375  0.625  1.51
Pa  0.750  0.125  0.875  1.51
S  0.625  0.750  0.875  -0.05
S  0.875  0.250  0.625  -0.05
S  0.125  0.375  0.250  -0.05
S  0.375  0.125  0.750  -0.05
S  0.250  0.875  0.125  -0.05
S  0.750  0.625  0.375  -0.05
F  0.000  0.000  0.352  -0.01
F  0.500  0.352  0.500  -0.01
F  0.648  0.148  0.148  -0.01
F  0.000  0.000  0.852  -0.01
F  0.852  0.500  0.000  -0.01
F  0.500  0.852  0.500  -0.01
F  0.352  0.500  0.000  -0.01
F  0.148  0.648  0.648  -0.01

**Size of the total moment**: 0.500 μB/atom
**V**: 188 Å³/f.u.
**SG**: I-43d, No. 220
**Formation energy from raw total energies**: -2518 meV per atom

# 6
Pm2Te2Se | PBE | optimized geometry

Lattice parameters (Å, degrees): 7.676 8.265 10.880 90.00 95.58 90.00
Fractional positions:
Pm  0.754  0.961  0.128
Pm  0.254  0.539  0.128
Pm  0.746  0.461  0.872
Pm  0.246  0.039  0.872
Pm  0.740  0.376  0.490
Pm  0.240  0.124  0.490
Pm  0.760  0.876  0.510
Pm  0.260  0.624  0.510
Te  0.510  0.262  0.035
Te  0.010  0.238  0.035
Te  0.990  0.762  0.965
Te  0.490  0.738  0.965
Te  0.912  0.631  0.317
Te  0.412  0.869  0.317
Te  0.588  0.131  0.683
Te  0.088  0.369  0.683
Se  0.394  0.375  0.355
Se  0.606  0.625  0.645
Se  0.894  0.125  0.355
Se  0.106  0.875  0.645

**Size of the total moment**: 0.000 μB/atom
**V**: 172 Å³/f.u.
**SG**: P2_1/c, No. 14
**Polymorph energy (0 for the lowest one)**: 0.000 eV per atom
**Formation energy from raw total energies**: -1538 meV per atom